Density functional theory data (PBE) for an optimized crystal structure of Ce2GaSn.

Unit cell a=4.4565 b=4.7540 c=4.7540 alpha=90.00 beta=90.00 gamma=90.00
Fractional positions:
1 Ce 0.0000 0.0000 0.5000
2 Sn 0.5000 0.0000 0.0000
3 Ga 0.5000 0.5000 0.5000
4 Ce 0.0000 0.5000 0.0000

Summary:
The value obtained for the formation enthalpy at 0 K is -0.529 eV/atom. The value obtained for the density of states at the Fermi level is 9.35 states/eV/f.u. The final energy is -21.015 eV/cell.